Record 1
Computed, not measured: a relaxed FeNiP2S6 crystal at the PBE level of DFT.

It has space group C2 (No. 5), with a = 5.911 Å, b = 10.153 Å, c = 7.304 Å, α = 90.00°, β = 105.02° and γ = 90.00°. The inequivalent atoms are Fe at (0.000, 0.000, 0.000), Ni at (0.000, 0.312, 0.000), P at (0.056, 0.652, 0.155), S at (0.241, 0.479, 0.215), S at (0.242, 0.156, 0.228) and S at (0.249, 0.320, 0.782).

As for the spin magnetization: 12.0 Bohr magnetons per cell. The value obtained for the calculated volume is 423.4 Å³/cell. The calculation puts the density of states at the Fermi level at 4.05 states/eV/f.u. The calculation puts the uncorrected formation energy at -0.209 eV/atom. For the total energy, the calculation gives -0.1908 hartree per atom.



Record 2
Computed, not measured: a relaxed Ta3PH crystal at the PBE level of DFT.

It has space group Pm-3m (No. 221), with a = 4.091 Å, b = 4.091 Å, c = 4.091 Å, α = 90.00°, β = 90.00° and γ = 90.00°. The inequivalent atoms are Ta at (0.000, 0.000, 0.500), P at (0.500, 0.500, 0.500) and H at (0.000, 0.000, 0.000).

As for the spin magnetization: 0.0 Bohr magnetons per cell. The value obtained for the calculated volume is 68.5 Å³/cell. The calculation puts the density of states at the Fermi level at 3.89 states/eV/f.u. Its excess energy over the best structure of this formula in the dataset is 413 meV/atom. For the total energy, the calculation gives -0.3257 hartree per atom.



Record 3
Computed, not measured: a relaxed Pa2FeP crystal at the PBE level of DFT.

It has space group R-3m (No. 166, hexagonal axes), with a = 3.7732 Å, b = 3.7732 Å, c = 20.3285 Å, α = 90.00°, β = 90.00° and γ = 120.00°. The inequivalent atoms are Pa at (0.0000, 0.0000, 0.2423), Fe at (0.0000, 0.0000, 0.5000) and P at (0.0000, 0.0000, 0.0000).

As for the spin magnetization: 0.0 Bohr magnetons per cell. The value obtained for the calculated volume is 250.6 Å³/cell. For the formation energy, the calculation gives -0.608 eV per atom. The calculation puts the density of states at the Fermi level at 4.96 states/eV/f.u. Its excess energy over the best structure of this formula in the dataset is 124 meV/atom. For the total energy, the calculation gives -0.3243 hartree per atom.



Record 4
Computed, not measured: a relaxed KCd2Hg crystal at the PBE level of DFT.

It has space group P2/m (No. 10), with a = 3.471 Å, b = 5.488 Å, c = 6.262 Å, α = 90.00°, β = 90.50° and γ = 90.00°. The inequivalent atoms are K at (0.000, 0.000, 0.000), Cd at (0.493, 0.500, 0.740) and Hg at (0.500, 0.000, 0.500).

As for the spin magnetization: 0.0 Bohr magnetons per cell. The value obtained for the calculated volume is 119.3 Å³/cell. For the formation energy, the calculation gives -0.069 eV per atom. The calculation puts the density of states at the Fermi level at 1.15 states/eV/f.u. For the total energy, the calculation gives -0.0322 hartree per atom.



Record 5
Computed, not measured: a relaxed In2Ag4Hg crystal at the PBE level of DFT.

It has space group I4/mmm (No. 139), with a = 5.252 Å, b = 5.252 Å, c = 14.089 Å, α = 90.00°, β = 90.00° and γ = 90.00°. The inequivalent atoms are In at (0.000, 0.000, 0.114), Ag at (0.000, 0.000, 0.305), Ag at (0.000, 0.500, 0.000) and Hg at (0.000, 0.000, 0.500).

As for the spin magnetization: 0.0 Bohr magnetons per cell. The value obtained for the calculated volume is 388.7 Å³/cell. For the formation energy, the calculation gives 0.393 eV per atom. The calculation puts the density of states at the Fermi level at 2.34 states/eV/f.u. Its excess energy over the best structure of this formula in the dataset is 357 meV/atom. For the total energy, the calculation gives -0.0758 hartree per atom.



Record 6
Computed, not measured: a relaxed Zr2AlSi crystal at the PBE level of DFT.

It has space group Cmmm (No. 65), with a = 4.209 Å, b = 4.351 Å, c = 8.144 Å, α = 90.00°, β = 90.00° and γ = 90.00°. The inequivalent atoms are Zr at (0.000, 0.000, 0.233), Al at (0.000, 0.500, 0.500) and Si at (0.000, 0.500, 0.000).

As for the spin magnetization: 0.0 Bohr magnetons per cell. The value obtained for the calculated volume is 149.2 Å³/cell. The calculation puts the density of states at the Fermi level at 1.89 states/eV/f.u. Its excess energy over the best structure of this formula in the dataset is 257 meV/atom. The calculation puts the uncorrected formation energy at -0.477 eV/atom. For the total energy, the calculation gives -0.2588 hartree per atom.